[1]
Material: LiMgAlH6
Method: DFT, GGA-PBE
State: optimized geometry

ΔE to the lowest computed polymorph (meV per atom): 9

Cell: 4.3204 4.3204 8.4828 Å, 90.00 90.00 90.00°
Fractional positions:
Li 0.0000 0.0000 0.0000
Li 0.5000 0.5000 0.5000
Mg 0.0000 0.0000 0.6670
Mg 0.5000 0.5000 0.1670
Al 0.0000 0.0000 0.3312
Al 0.5000 0.5000 0.8312
H 0.1885 0.1885 0.1775
H 0.1919 0.1919 0.4835
H 0.2151 0.2151 0.8324
H 0.2849 0.7151 0.3324
H 0.3081 0.6919 0.9835
H 0.3115 0.6885 0.6775
H 0.6885 0.3115 0.6775
H 0.6919 0.3081 0.9835
H 0.7151 0.2849 0.3324
H 0.7849 0.7849 0.8324
H 0.8081 0.8081 0.4835
H 0.8115 0.8115 0.1775



[2]
Material: LiMn2AlH
Method: DFT, GGA-PBE
State: optimized geometry

Calculated total energy (eV per cell): -27.785

Cell: 3.7893 3.7893 3.7360 Å, 90.00 90.00 90.00°
Fractional positions:
Li 0.0000 0.0000 0.0000
Mn 0.0000 0.5000 0.5000
Mn 0.5000 0.0000 0.5000
Al 0.5000 0.5000 0.0000
H 0.0000 0.0000 0.5000



[3]
Material: Li2MnAlH
Method: DFT, GGA-PBE
State: optimized geometry

Calculated total energy (eV per cell): -20.430

Cell: 3.7314 3.7314 4.2283 Å, 90.00 90.00 90.00°
Fractional positions:
Li 0.0000 0.5000 0.0000
Li 0.5000 0.0000 0.0000
Mn 0.0000 0.0000 0.5000
Al 0.5000 0.5000 0.5000
H 0.0000 0.0000 0.0000



| no. | N(E_F) (states/eV per cell) |
| --- | --- |
| 1 | 0.00 |
| 2 | 2.83 |
| 3 | 1.92 |